DFT (GGA+U) results for a geometry-optimized H2WF6 structure.

Output
final energy = -89.076 eV/cell
Fermi-level density of states = 0.000 states/eV per cell
space group = No. 14
offset from the most stable computed form = 0.0 meV per atom

Geometry as POSCAR:
```
H2WF6
1.0
5.172 0.000 0.000
0.000 5.682 0.000
-3.607 0.000 8.403
H W F
4 2 12
Direct
0.215 0.144 0.319
0.215 0.356 0.819
0.785 0.644 0.181
0.785 0.856 0.681
0.000 0.000 0.000
0.000 0.500 0.500
0.114 0.204 0.417
0.114 0.296 0.917
0.273 0.683 0.450
0.273 0.817 0.950
0.292 0.089 0.232
0.292 0.411 0.732
0.708 0.589 0.268
0.708 0.911 0.768
0.727 0.183 0.050
0.727 0.317 0.550
0.886 0.704 0.083
0.886 0.796 0.583
```